A plane-wave DFT calculation with GGA-PBE was carried out for crystalline YIr2F at its relaxed geometry.

Calculated values
ΔE_f (raw) in eV per atom: -0.930
Total magnetic moment in μB/f.u.: 0.00
Calculated volume in Å³ per cell: 279
DOS(E_F) in states/eV/cell: 14.69
Energy relative to the lowest polymorph listed for this composition in meV per atom: 0

abc: 3.5585 3.5585 22.0116
angles: 90.00 90.00 90.00
Fractional coordinates of all 16 atoms:
Y (0.0000, 0.0000, 0.0000)
Y (0.0000, 0.5000, 0.2500)
Y (0.5000, 0.0000, 0.7500)
Y (0.5000, 0.5000, 0.5000)
Ir (0.2458, 0.2500, 0.6250)
Ir (0.2500, 0.7458, 0.8750)
Ir (0.2500, 0.7542, 0.3750)
Ir (0.2542, 0.2500, 0.1250)
Ir (0.7458, 0.7500, 0.1250)
Ir (0.7500, 0.2458, 0.3750)
Ir (0.7500, 0.2542, 0.8750)
Ir (0.7542, 0.7500, 0.6250)
F (0.0000, 0.0000, 0.5000)
F (0.0000, 0.5000, 0.7500)
F (0.5000, 0.0000, 0.2500)
F (0.5000, 0.5000, 0.0000)


A plane-wave DFT calculation with GGA-PBE was carried out for crystalline Hf7Sb2P2 at its relaxed geometry.

Calculated values
ΔE_f (raw) in eV per atom: -0.724
Total magnetic moment in μB/f.u.: 0.00
Calculated volume in Å³ per cell: 224
DOS(E_F) in states/eV/cell: 8.37

abc: 8.7443 8.7443 8.7443
angles: 156.48 63.21 122.27
Fractional coordinates of all 11 atoms:
Hf (0.0000, 0.0000, 0.0000)
Hf (0.0579, 0.3814, 0.6765)
Hf (0.1050, 0.7641, 0.3409)
Hf (0.4232, 0.7641, 0.6591)
Hf (0.4574, 0.5862, 0.8712)
Hf (0.7050, 0.3814, 0.3235)
Hf (0.7150, 0.5862, 0.1288)
Sb (0.3334, 0.3334, 0.0000)
Sb (0.7271, 0.2271, 0.5000)
P (0.3246, 0.0805, 0.2441)
P (0.8364, 0.0805, 0.7559)


A plane-wave DFT calculation with GGA-PBE was carried out for crystalline Ti6CoMo at its relaxed geometry.

Calculated values
Total magnetic moment in μB/f.u.: 1.34
Calculated volume in Å³ per cell: 271
ΔH_f (0 K) in kJ/mol of formula units: 153.5
DOS(E_F) in states/eV/cell: 21.11
Energy relative to the lowest polymorph listed for this composition in meV per atom: 305

abc: 5.6616 9.5070 5.6460
angles: 90.00 117.09 90.00
Fractional coordinates of all 16 atoms:
Ti (0.2281, 0.2092, 0.2503)
Ti (0.2281, 0.7908, 0.2503)
Ti (0.2355, 0.0000, 0.7686)
Ti (0.2645, 0.5000, 0.2314)
Ti (0.2719, 0.2908, 0.7497)
Ti (0.2719, 0.7092, 0.7497)
Ti (0.7281, 0.2908, 0.2503)
Ti (0.7281, 0.7092, 0.2503)
Ti (0.7355, 0.5000, 0.7686)
Ti (0.7645, 0.0000, 0.2314)
Ti (0.7719, 0.2092, 0.7497)
Ti (0.7719, 0.7908, 0.7497)
Co (0.0000, 0.0000, 0.0000)
Co (0.5000, 0.5000, 0.0000)
Mo (0.0000, 0.5000, 0.5000)
Mo (0.5000, 0.0000, 0.5000)


no.,uncorrected energy (eV per atom)
1,-7.444
2,-8.791
3,-7.964